(1)
A relaxed Er4ZnHg5 crystal, computed with PBE.

The structure in extended XYZ format:
```
10
Lattice="3.681 0.000 0.000 0.000 3.681 0.000 0.000 0.000 17.734" Properties=species:S:1:pos:R:3 pbc="T T T"
Er 0.000 0.000 1.851
Er 0.000 0.000 5.557
Er 0.000 0.000 12.177
Er 0.000 0.000 15.883
Zn 0.000 0.000 8.867
Hg 1.840 1.840 0.000
Hg 1.840 1.840 3.666
Hg 1.840 1.840 7.311
Hg 1.840 1.840 10.423
Hg 1.840 1.840 14.068
```

* total DFT energy (no corrections): -24.765 eV/cell
* space group: No. 123



(2)
A relaxed Cs5Au2 crystal, computed with PBE.

The structure in extended XYZ format:
```
14
Lattice="10.235 -4.341 0.000 10.235 4.341 0.000 -1.159 0.000 9.685" Properties=species:S:1:pos:R:3 pbc="T T T"
Cs 9.366 3.773 7.264
Cs 4.048 0.661 3.153
Cs 3.469 -0.661 7.995
Cs 8.352 0.920 0.803
Cs 11.538 0.920 4.040
Cs 7.773 -0.920 5.646
Cs 10.959 -0.920 8.882
Cs 15.842 0.661 1.690
Cs 15.263 -0.661 6.533
Cs 9.945 -3.773 2.421
Au 7.616 2.529 4.077
Au 12.275 2.529 0.766
Au 7.036 -2.529 8.919
Au 11.695 -2.529 5.609
```

* total DFT energy (no corrections): -24.281 eV/cell
* space group: No. 15



(3)
A relaxed La5YErTm2 crystal, computed with PBE.

The structure in extended XYZ format:
```
18
Lattice="2.825 -10.403 0.000 2.825 10.403 0.000 0.000 0.000 10.793" Properties=species:S:1:pos:R:3 pbc="T T T"
La 2.825 10.221 5.397
La 2.825 7.883 8.301
La 2.825 6.150 5.009
La 2.825 5.756 0.798
La 2.825 0.266 8.217
La 2.825 -0.266 2.821
La 2.825 -5.756 6.195
La 2.825 -6.150 10.406
La 2.825 -7.883 2.904
La 2.825 -10.221 0.000
Y 2.825 4.112 8.296
Y 2.825 -4.112 2.900
Er 2.825 8.397 2.481
Er 2.825 -8.397 7.877
Tm 2.825 2.407 5.361
Tm 2.825 2.309 0.478
Tm 2.825 -2.309 5.874
Tm 2.825 -2.407 10.757
```

* total DFT energy (no corrections): -86.746 eV/cell
* space group: No. 36



(4)
A relaxed Tb2Ce3YSe6 crystal, computed with PBE.

The structure in extended XYZ format:
```
12
Lattice="3.570 -6.189 0.000 3.570 6.189 0.000 -2.384 0.000 6.854" Properties=species:S:1:pos:R:3 pbc="T T T"
Tb 3.570 4.127 0.000
Tb 3.570 -4.127 0.000
Ce -1.192 0.000 3.427
Ce 2.378 2.067 3.427
Ce 2.378 -2.067 3.427
Y 3.570 0.000 0.000
Se -0.001 2.060 5.213
Se 1.193 0.000 1.644
Se -0.001 -2.060 5.213
Se 4.756 2.060 1.641
Se 3.562 0.000 5.210
Se 4.756 -2.060 1.641
```

* raw formation energy: -1.81 eV per atom
* space group: No. 12



(5)
A relaxed Na2CuCl5 crystal, computed with PBE.

The structure in extended XYZ format:
```
8
Lattice="6.602 0.000 0.000 0.000 6.602 0.000 0.000 0.000 4.614" Properties=species:S:1:pos:R:3 pbc="T T T"
Na 0.000 3.301 0.000
Na 3.301 0.000 0.000
Cu 0.000 0.000 2.307
Cl 0.000 0.000 0.000
Cl 1.653 1.653 2.307
Cl 1.653 4.949 2.307
Cl 4.949 1.653 2.307
Cl 4.949 4.949 2.307
```

* energy relative to the lowest polymorph listed for this composition: 65 meV/atom
* raw formation energy: -0.96 eV per atom
* space group: No. 123



(6)
A relaxed Ba12Na3Rh5 crystal, computed with PBE.

The structure in extended XYZ format:
```
80
Lattice="-9.903 9.903 9.903 9.903 -9.903 9.903 9.903 9.903 -9.903" Properties=species:S:1:pos:R:3 pbc="T T T"
Ba 2.862 -0.752 0.985
Ba 11.992 5.937 -5.704
Ba 12.765 0.752 0.985
Ba 11.992 -3.966 5.704
Ba 9.151 -0.985 2.862
Ba 15.607 -2.089 3.966
Ba 0.985 2.862 -0.752
Ba 13.869 4.199 -2.089
Ba 5.937 5.704 -2.089
Ba 8.918 2.862 0.752
Ba -0.752 0.985 2.862
Ba 5.704 -2.089 5.937
Ba 9.151 8.918 -2.862
Ba 5.704 2.089 3.966
Ba 5.937 -5.704 11.992
Ba 8.918 -2.862 9.151
Ba 3.966 5.704 2.089
Ba 10.889 7.041 0.752
Ba 5.704 11.992 -3.966
Ba 9.151 0.985 7.041
Ba 2.862 9.151 -0.985
Ba 11.992 3.966 4.199
Ba 2.089 3.966 5.704
Ba 2.862 0.752 8.918
Ba 7.041 9.151 0.985
Ba 7.814 5.937 4.199
Ba -2.089 5.937 5.704
Ba 7.041 0.752 10.889
Ba 0.752 8.918 2.862
Ba 4.199 -2.089 13.869
Ba -0.985 2.862 9.151
Ba 5.937 4.199 7.814
Ba 0.985 12.765 0.752
Ba 3.966 15.607 -2.089
Ba 4.199 7.814 5.937
Ba 0.752 0.985 12.765
Ba 4.199 11.992 3.966
Ba 10.655 8.918 7.041
Ba 0.985 7.041 9.151
Ba 3.966 4.199 11.992
Ba -3.966 5.704 11.992
Ba 8.918 7.041 10.655
Ba -5.704 11.992 5.937
Ba 0.752 10.889 7.041
Ba -2.089 13.869 4.199
Ba -2.862 9.151 8.918
Ba -2.089 3.966 15.607
Ba 7.041 10.655 8.918
Na 4.952 2.476 0.000
Na 9.903 4.952 -2.476
Na 2.476 0.000 4.952
Na 12.379 0.000 4.952
Na 0.000 4.952 2.476
Na 4.952 -2.476 9.903
Na 4.952 12.379 0.000
Na 9.903 4.952 7.427
Na -2.476 9.903 4.952
Na 7.427 9.903 4.952
Na 0.000 4.952 12.379
Na 4.952 7.427 9.903
Rh 0.000 0.000 0.000
Rh 4.952 4.952 -4.952
Rh 4.952 -4.952 4.952
Rh 9.903 0.000 0.000
Rh 14.855 2.476 0.000
Rh 9.903 -4.952 7.427
Rh 7.427 9.903 -4.952
Rh 7.427 0.000 4.952
Rh 4.952 7.427 0.000
Rh 9.903 4.952 2.476
Rh -4.952 4.952 4.952
Rh 0.000 9.903 0.000
Rh 0.000 0.000 9.903
Rh 4.952 4.952 4.952
Rh 0.000 4.952 7.427
Rh 4.952 2.476 9.903
Rh 2.476 9.903 4.952
Rh 2.476 0.000 14.855
Rh 0.000 14.855 2.476
Rh -4.952 7.427 9.903
```

* total DFT energy (no corrections): -253.136 eV/cell
* space group: No. 230